Record 1
Compound: YNiTe2
Source: the Alexandria database
Functional: GGA-PBE
Structure: relaxed

```
YNiTe2
1.0
-5.8143 -0.3003 1.2172
-4.3409 -4.0252 0.5766
1.0371 -0.3924 4.6669
Ni Te Y
1 2 1
Direct
0.7935 0.7935 0.6516
0.9673 0.9673 0.9660
0.2296 0.2296 0.4028
0.5096 0.5096 0.4796
```

E (eV/atom): -5.330
Formation energy (no corrections) (eV/atom): -0.70



Record 2
Compound: Pm3Hf5H12
Source: the Alexandria database
Functional: GGA-PBE
Structure: relaxed

```
Pm3Hf5H12
1.0
10.7730 0.0000 0.0000
-3.5910 10.1569 0.0000
-3.5910 -5.0784 8.7961
Pm H Hf
12 48 20
Direct
0.3750 0.6250 0.2500
0.6250 0.2500 0.3750
0.2500 0.1250 0.3750
0.1250 0.8750 0.7500
0.7500 0.8750 0.6250
0.7500 0.3750 0.1250
0.1250 0.2500 0.8750
0.8750 0.7500 0.1250
0.2500 0.6250 0.8750
0.6250 0.3750 0.7500
0.3750 0.7500 0.6250
0.8750 0.1250 0.2500
0.3643 0.4131 0.0765
0.5765 0.8643 0.4131
0.9512 0.5869 0.1634
0.2878 0.4235 0.8366
0.9235 0.0869 0.6357
0.8366 0.9235 0.2878
0.6634 0.4512 0.5869
0.7122 0.1357 0.0488
0.7878 0.3366 0.9235
0.9131 0.8366 0.5488
0.6634 0.2122 0.5765
0.8366 0.9131 0.0488
0.6357 0.0488 0.2122
0.4235 0.2878 0.3366
0.4131 0.3643 0.5765
0.2878 0.8643 0.9512
0.2122 0.5488 0.6357
0.0869 0.9235 0.1357
0.5765 0.7122 0.6634
0.0488 0.6357 0.7122
0.5488 0.2122 0.1357
0.3643 0.9512 0.7878
0.6357 0.5869 0.9235
0.1634 0.0869 0.9512
0.4512 0.6634 0.0869
0.4512 0.7878 0.8643
0.5488 0.3366 0.9131
0.0765 0.9131 0.3643
0.9131 0.0765 0.8643
0.9512 0.3643 0.2878
0.5869 0.9512 0.6634
0.0765 0.1634 0.2122
0.1357 0.7122 0.5488
0.5869 0.6357 0.4235
0.4131 0.0488 0.3366
0.3366 0.7878 0.4235
0.1357 0.4235 0.0869
0.2122 0.6634 0.0765
0.4235 0.1357 0.5869
0.7122 0.5765 0.1634
0.8643 0.2878 0.4512
0.7878 0.4512 0.3643
0.9235 0.8366 0.7878
0.3366 0.5488 0.4131
0.8643 0.5765 0.9131
0.0869 0.1634 0.4512
0.0488 0.4131 0.8366
0.1634 0.0765 0.7122
0.7500 0.1250 0.8750
0.5000 0.5000 0.5000
0.8750 0.6250 0.7500
0.8750 0.2500 0.6250
0.6250 0.7500 0.8750
0.2500 0.8750 0.1250
0.3750 0.1250 0.7500
0.0000 0.5000 0.0000
0.0000 0.5000 0.5000
0.1250 0.7500 0.3750
0.0000 0.0000 0.5000
0.5000 0.0000 0.5000
0.5000 0.0000 0.0000
0.6250 0.8750 0.2500
0.1250 0.3750 0.2500
0.0000 0.0000 0.0000
0.7500 0.6250 0.3750
0.5000 0.5000 0.0000
0.3750 0.2500 0.1250
0.2500 0.3750 0.6250
```

E (eV/atom): -5.589



Record 3
Compound: MgCoAs2
Source: the Alexandria database
Functional: GGA-PBE
Structure: relaxed

```
MgCoAs2
1.0
3.0310 0.0361 0.0000
-0.0267 3.0311 0.0000
0.0000 0.0000 7.0297
As Mg Co
2 1 1
Direct
0.0000 0.0000 0.0432
0.0000 0.0000 0.4568
0.5000 0.5000 0.7500
0.5000 0.5000 0.2500
```

E (eV/atom): -4.557
E_form (eV/f.u.): -0.23



Record 4
Compound: Dy3Tm2Hg3
Source: the Alexandria database
Functional: GGA-PBE
Structure: relaxed

```
Dy3Tm2Hg3
1.0
-0.5647 3.5763 -0.8120
-2.8414 0.5554 4.4224
10.7974 0.6203 3.7006
Tm Dy Hg
2 3 3
Direct
0.7327 0.2327 0.4653
0.2673 0.7673 0.5347
0.5000 0.0000 0.0000
0.3777 0.3777 0.7554
0.6223 0.6223 0.2446
0.1201 0.1201 0.2401
0.8799 0.8799 0.7599
0.0000 0.5000 0.0000
```

E (eV/atom): -3.315
E_form (eV/f.u.): -2.87



Record 5
Compound: TlV2In
Source: the Alexandria database
Functional: GGA-PBE
Structure: relaxed

```
TlV2In
1.0
3.4834 -1.4181 -2.9678
2.0991 -4.2600 0.6323
-0.8036 -3.5521 -3.1129
In Tl V
1 1 2
Direct
0.0000 0.0000 0.0000
0.5000 0.5000 0.5000
0.7500 0.7500 0.7500
0.2500 0.2500 0.2500
```

E (eV/atom): -5.300
Distance to the lowest polymorph of the same formula (meV/atom): 0.0
E_form (eV/f.u.): 2.14



Record 6
Compound: PrZrSc
Source: the Alexandria database
Functional: GGA-PBE
Structure: relaxed

```
PrZrSc
1.0
3.3757 0.0000 0.0000
-1.6878 2.9234 0.0000
0.0000 0.0000 8.2418
Sc Zr Pr
1 1 1
Direct
0.3333 0.6667 0.6458
0.6667 0.3333 0.3452
0.0000 0.0000 0.0090
```

E (eV/atom): -6.436
Distance to the lowest polymorph of the same formula (meV/atom): 21.3
E_form (eV/f.u.): 0.35



Record 7
Compound: MgBiPt2
Source: the Alexandria database
Functional: GGA-PBE
Structure: relaxed

```
MgBiPt2
1.0
-1.1346 1.2594 -3.8840
0.1484 -4.0158 -1.3455
-9.3082 -2.4504 -0.3872
Mg Pt Bi
2 4 2
Direct
0.5000 0.5000 0.0000
0.2500 0.7500 0.5000
0.8750 0.8604 0.7500
0.1396 0.6250 0.2500
0.3750 0.3896 0.7500
0.6104 0.1250 0.2500
0.7500 0.2500 0.5000
0.0000 0.0000 0.0000
```

E (eV/atom): -4.508
E_form (eV/f.u.): -0.48



Record 8
Compound: NpGa4Ni2Ru
Source: the Alexandria database
Functional: GGA-PBE
Structure: relaxed

```
NpGa4Ni2Ru
1.0
4.1073 0.0000 0.0000
2.0537 3.5571 0.0000
2.0537 1.1857 8.8088
Ni Ru Np Ga
2 1 1 4
Direct
0.2324 0.2324 0.3028
0.7676 0.7676 0.6972
0.5000 0.5000 0.5000
0.0000 0.0000 0.0000
0.5981 0.5981 0.2057
0.1299 0.1299 0.6103
0.4019 0.4019 0.7943
0.8701 0.8701 0.3897
```

E (eV/atom): -5.974
E_form (eV/f.u.): -1.90